[1]
Computed, not measured: a geometry-optimized InPb structure at the GGA-PBEsol level of DFT.

Computed properties:
Energy = -0.127 Ha/atom
DOS at the Fermi energy = 2.38 states/eV/cell

Cell: 5.3831 5.3831 5.3831 Å, 60.00 60.00 60.00°
Sites, in units of the cell vectors:
In 0.5000 0.5000 0.5000
In 0.7500 0.7500 0.7500
Pb 0.0000 0.0000 0.0000
Pb 0.2500 0.2500 0.2500

=====

[2]
Computed, not measured: a geometry-optimized In2Pb structure at the GGA-PBEsol level of DFT.

Computed properties:
Energy = -0.122 Ha/atom
DOS at the Fermi energy = 1.35 states/eV/cell

Cell: 3.3789 4.6759 5.8679 Å, 113.48 106.73 90.00°
Sites, in units of the cell vectors:
In 0.3308 0.3308 0.6617
In 0.6692 0.6692 0.3383
Pb 0.0000 0.0000 0.0000

=====

[3]
Computed, not measured: a geometry-optimized In2Pb structure at the GGA-PBEsol level of DFT.

Computed properties:
Energy = -0.122 Ha/atom
DOS at the Fermi energy = 1.58 states/eV/cell

Cell: 3.4614 3.4614 7.1681 Å, 103.97 103.97 90.00°
Sites, in units of the cell vectors:
Pb 0.0000 0.0000 0.0000
In 0.6708 0.6708 0.3415
In 0.3292 0.3292 0.6585

=====

[4]
Computed, not measured: a geometry-optimized InPb3 structure at the GGA-PBEsol level of DFT.

Computed properties:
Energy = -0.137 Ha/atom
DOS at the Fermi energy = 2.30 states/eV/cell

Cell: 3.4199 5.9501 6.5919 Å, 116.83 105.03 90.00°
Sites, in units of the cell vectors:
Pb 0.7501 0.4165 0.5003
Pb 0.2499 0.9163 0.4997
Pb 0.5000 0.4997 0.0000
In 0.0000 0.0008 0.0000